1.
# Cs3TlCd2F9, relaxed, DFT PBE
# Size of the total moment, μB/f.u.: 0.00
# Raw formation energy, kcal/mol of atoms: -54.44
# V, Å³ per atom: 19.93
data_Cs3TlCd2F9
_chemical_formula_sum 'Cs3 Tl1 Cd2 F9'
_symmetry_space_group_name_H-M 'P -3 m 1'
_symmetry_Int_Tables_number 164
_symmetry_space_group_name_Hall '-P 3 2"'
_cell_length_a 6.5517
_cell_length_b 6.5517
_cell_length_c 8.0411
_cell_angle_alpha 90.00
_cell_angle_beta 90.00
_cell_angle_gamma 120.00
loop_
_atom_site_label
_atom_site_type_symbol
_atom_site_fract_x
_atom_site_fract_y
_atom_site_fract_z
Cs1 Cs 0.0000 0.0000 0.0000
Cs2 Cs 0.3333 0.6667 0.6670
Tl1 Tl 0.0000 0.0000 0.5000
Cd1 Cd 0.3333 0.6667 0.1585
F1 F 0.0000 0.5000 0.0000
F2 F 0.1724 0.3447 0.3257



2.
# Cs3TlCd2F8, relaxed, DFT PBE
# Size of the total moment, μB/f.u.: 0.00
# Raw formation energy, kcal/mol of atoms: -53.10
# V, Å³ per atom: 25.27
data_Cs3TlCd2F8
_chemical_formula_sum 'Cs3 Tl1 Cd2 F8'
_symmetry_space_group_name_H-M 'P -3 m 1'
_symmetry_Int_Tables_number 164
_symmetry_space_group_name_Hall '-P 3 2"'
_cell_length_a 6.8408
_cell_length_b 6.8408
_cell_length_c 8.7302
_cell_angle_alpha 90.00
_cell_angle_beta 90.00
_cell_angle_gamma 120.00
loop_
_atom_site_label
_atom_site_type_symbol
_atom_site_fract_x
_atom_site_fract_y
_atom_site_fract_z
Cs1 Cs 0.0000 0.0000 0.0000
Cs2 Cs 0.3333 0.6667 0.6308
Tl1 Tl 0.0000 0.0000 0.5000
Cd1 Cd 0.3333 0.6667 0.1854
F1 F 0.1716 0.3432 0.2990
F2 F 0.3333 0.6667 0.9449



3.
# CsTl2CdF5, relaxed, DFT PBE
# Size of the total moment, μB/f.u.: 0.00
# Raw formation energy, kcal/mol of atoms: -49.03
# V, Å³ per atom: 21.79
data_CsTl2CdF5
_chemical_formula_sum 'Cs2 Tl4 Cd2 F10'
_symmetry_space_group_name_H-M 'I m m m'
_symmetry_Int_Tables_number 71
_symmetry_space_group_name_Hall '-I 2 2'
_cell_length_a 4.492
_cell_length_b 6.634
_cell_length_c 13.160
_cell_angle_alpha 90.00
_cell_angle_beta 90.00
_cell_angle_gamma 90.00
loop_
_atom_site_label
_atom_site_type_symbol
_atom_site_fract_x
_atom_site_fract_y
_atom_site_fract_z
Cs1 Cs 0.000 0.000 0.000
Tl1 Tl 0.000 0.500 0.217
Cd1 Cd 0.000 0.000 0.500
F1 F 0.000 0.236 0.375
F2 F 0.000 0.500 0.000



4.
# Cs2Tl2CdF6, relaxed, DFT PBE
# Size of the total moment, μB/f.u.: 0.00
# Raw formation energy, kcal/mol of atoms: -50.82
# V, Å³ per atom: 26.01
data_Cs2Tl2CdF6
_chemical_formula_sum 'Cs4 Tl4 Cd2 F12'
_symmetry_space_group_name_H-M 'C 1 2/m 1'
_symmetry_Int_Tables_number 12
_symmetry_space_group_name_Hall '-C 2y'
_cell_length_a 7.296
_cell_length_b 12.321
_cell_length_c 6.575
_cell_angle_alpha 90.00
_cell_angle_beta 104.56
_cell_angle_gamma 90.00
loop_
_atom_site_label
_atom_site_type_symbol
_atom_site_fract_x
_atom_site_fract_y
_atom_site_fract_z
Cs1 Cs 0.000 0.158 0.000
Tl1 Tl 0.000 0.347 0.500
Cd1 Cd 0.000 0.500 0.000
F1 F 0.175 0.365 0.189
F2 F 0.175 0.500 0.742